No. 1
Material: NaMnSe
Method: DFT, PBE
State: optimized geometry

Formation energy from raw total energies, eV/f.u.: -0.99
Total DFT energy (no corrections), eV per atom: -4.9862

extended XYZ file:
```
6
Lattice="-0.3934 3.5837 1.5084 0.9738 0.6700 3.7250 10.0576 3.7638 -1.2563" Properties=species:S:1:pos:R:3 pbc="T T T"
Se 1.8092 1.8022 1.2529
Se 8.8288 6.2153 2.7241
Mn 9.5433 5.0134 0.7035
Mn 1.0947 3.0041 3.2736
Na 4.0462 5.0779 4.1790
Na 6.5918 2.9396 -0.2020
```


No. 2
Material: NaMn2Se
Method: DFT, PBE
State: optimized geometry

Formation energy from raw total energies, eV/f.u.: 1.42
Total DFT energy (no corrections), eV per atom: -5.4303

extended XYZ file:
```
8
Lattice="4.9643 0.0000 0.0000 0.0000 4.9643 0.0000 2.4822 2.4822 8.2703" Properties=species:S:1:pos:R:3 pbc="T T T"
Na 2.4822 2.4822 0.0000
Na 2.4822 4.9643 4.1352
Mn 4.9623 1.2411 2.0676
Mn 4.9663 3.7232 2.0676
Mn 3.7232 2.4842 6.2027
Mn 6.2054 2.4801 6.2027
Se 0.0000 0.0000 0.0000
Se 4.9643 2.4822 4.1352
```


No. 3
Material: Na5Mn2Se5
Method: DFT, PBE
State: optimized geometry

Formation energy from raw total energies, eV/f.u.: -9.82
Total DFT energy (no corrections), eV per atom: -4.3477

extended XYZ file:
```
12
Lattice="4.0284 0.0000 0.0000 -2.0142 6.5125 -1.8455 0.0000 -0.0128 11.2175" Properties=species:S:1:pos:R:3 pbc="T T T"
Na 2.0142 -0.0064 5.6088
Na 2.0142 2.0826 0.1556
Na 2.0142 3.3663 3.1924
Na 0.0000 3.1333 6.1797
Na 0.0000 4.4171 9.2164
Mn 0.0000 0.5688 8.7671
Mn 2.0142 5.9309 0.6049
Se 0.0000 1.3649 3.8786
Se 2.0142 2.0829 8.3608
Se 0.0000 4.4168 1.0113
Se 2.0142 5.1347 5.4935
Se 0.0000 0.0000 0.0000
```


| no. | total magnetization (μB per formula unit) |
| --- | --- |
| 1 | 2.96 |
| 2 | 6.86 |
| 3 | 9.00 |